## MnZn2Cr (PBE)

Data for a relaxed structure of MnZn2Cr.

```
MnZn2Cr
1.0
4.752 -0.155 0.170
3.922 2.687 0.170
0.910 0.266 4.175
Zn Mn Cr
2 1 1
Direct
0.998 0.998 0.002
0.502 0.502 0.498
0.250 0.250 0.250
0.750 0.750 0.750
```

Properties
Space-group type: C2/m, No. 12
Electronic total energy, eV per cell: -20.8


## Sm2DyHo4Th (PBE)

Data for a relaxed structure of Sm2DyHo4Th.

```
Sm2DyHo4Th
1.0
5.062 0.000 0.000
0.000 4.905 1.179
0.000 2.564 10.888
Ho Th Sm Dy
4 1 2 1
Direct
0.500 0.253 0.747
0.000 0.752 0.747
0.000 0.248 0.253
0.500 0.747 0.253
0.000 0.500 0.500
0.000 0.000 0.000
0.500 0.000 0.500
0.500 0.500 0.000
```

Properties
Space-group type: Pmmm, No. 47
Electronic total energy, eV per cell: -39.5


- Among the records above, which one has the lowest electronic total energy?
  Sm2DyHo4Th


- Which value of electronic total energy does entry 2 give?
  -39.5 eV per cell


- Number 1 is which compound?
  MnZn2Cr


What did the second record say?
## Sm2DyHo4Th (PBE)

Data for a relaxed structure of Sm2DyHo4Th.

```
Sm2DyHo4Th
1.0
5.062 0.000 0.000
0.000 4.905 1.179
0.000 2.564 10.888
Ho Th Sm Dy
4 1 2 1
Direct
0.500 0.253 0.747
0.000 0.752 0.747
0.000 0.248 0.253
0.500 0.747 0.253
0.000 0.500 0.500
0.000 0.000 0.000
0.500 0.000 0.500
0.500 0.500 0.000
```

Properties
Space-group type: Pmmm, No. 47
Electronic total energy, eV per cell: -39.5